Entry 1:
Tm2PdRh, relaxed, DFT PBE; space group = No. 123; energy = -6.339 eV/atom; calculated formation energy = -0.9672 eV per atom
1.0
3.4127 0.0000 0.0000
0.0000 3.4127 0.0000
0.0000 0.0000 6.8617
Tm Pd Rh
2 1 1
Cartesian
0.0000 0.0000 1.6544
0.0000 0.0000 5.2073
1.7064 1.7064 3.4309
1.7064 1.7064 0.0000

---

Entry 2:
Mn2AsCl, relaxed, DFT PBE; space group = No. 12; energy = -6.382 eV/atom; ΔE to the lowest computed polymorph = 0.025 eV/atom; energy relative to the elements, uncorrected = -0.69 eV per formula unit
1.0
7.2219 0.0000 0.0000
0.0000 3.4708 0.0000
-3.5327 0.0000 6.3836
Mn As Cl
4 2 2
Cartesian
0.4561 0.0000 1.9420
-0.3779 1.7354 4.4416
4.0671 1.7354 1.9420
3.2331 0.0000 4.4416
-1.7664 0.0000 3.1918
1.8446 1.7354 3.1918
0.0000 1.7354 0.0000
3.6110 0.0000 0.0000

---

Entry 3:
NdU6Fe12, relaxed, DFT PBE; space group = No. 166; energy = -9.012 eV/atom; calculated formation energy = 0.1483 eV per atom
1.0
5.8687 3.3883 2.6180
-5.8687 3.3883 2.6180
0.0000 -6.7766 2.6180
Nd U Fe
1 6 12
Cartesian
0.0000 0.0000 0.0000
0.0000 -2.3331 2.6270
-2.0206 1.1666 2.6270
-2.0206 -1.1666 5.2269
2.0206 1.1666 2.6270
2.0206 -1.1666 5.2269
0.0000 2.3331 5.2269
-1.9394 -1.1197 2.4071
-2.0473 -3.5461 3.9269
-4.0947 0.0000 3.9269
1.9394 -1.1197 2.4071
0.0000 2.2394 2.4071
2.0473 -3.5461 3.9269
-2.0473 3.5461 3.9269
0.0000 -2.2394 5.4468
-1.9394 1.1197 5.4468
4.0947 0.0000 3.9269
2.0473 3.5461 3.9269
1.9394 1.1197 5.4468

---

Q: The highest energy belongs to which entry?
A: Tm2PdRh

---

Q: energy of number 1 (Tm2PdRh)?
A: -6.339 eV/atom

---

Q: Number 2 is which compound?
A: Mn2AsCl

---

Q: Which value of energy does entry 3 give?
A: -9.012 eV/atom